Ga2Cu4Au5 | GGA-PBE | optimized geometry

Results
symmetry	P-1
DFT formation energy	-7.3	kJ/mol of atoms
volume	15.6	Å³/atom
ΔE to the lowest computed polymorph	0.000	eV per atom
DFT total energy	-39.653	eV per formula unit

abc: 3.900 10.338 4.841
angles: 76.91 114.53 90.12
Fractional coordinates of all 11 atoms:
Ga 0.602 0.355 0.193
Ga 0.398 0.645 0.807
Cu 0.331 0.267 0.661
Cu 0.952 0.817 0.896
Cu 0.669 0.733 0.339
Cu 0.048 0.183 0.104
Au 0.872 0.439 0.738
Au 0.128 0.561 0.262
Au 0.768 0.106 0.543
Au 0.500 0.000 0.000
Au 0.232 0.894 0.457